DFT (PBE-GGA) results for Er2Tm3ScS6 after structural relaxation.

Results
- Raw total energy: -6.39 eV/atom

a b c (Å): 3.823 7.676 8.546
angles (deg): 103.08 102.92 90.00
Sites, in units of the cell vectors:
1 Er 0.834 0.668 0.668
2 Er 0.166 0.332 0.332
3 Tm 0.500 0.500 0.000
4 Tm 0.832 0.165 0.664
5 Tm 0.168 0.835 0.336
6 Sc 0.500 0.000 0.000
7 S 0.336 0.920 0.673
8 S 0.666 0.584 0.333
9 S 0.664 0.080 0.327
10 S 0.999 0.243 0.997
11 S 0.001 0.757 0.003
12 S 0.334 0.416 0.667


DFT (PBE-GGA) results for Er3TmSc3S8 after structural relaxation.

Results
- Raw total energy: -6.66 eV/atom

a b c (Å): 7.530 7.530 7.584
angles (deg): 119.76 90.00 120.00
Sites, in units of the cell vectors:
1 Er 0.000 0.000 0.000
2 Er 0.000 0.500 0.000
3 Er 0.500 0.500 0.000
4 Tm 0.000 0.000 0.500
5 Sc 0.500 0.000 0.500
6 Sc 0.500 0.500 0.500
7 Sc 0.000 0.500 0.500
8 S 0.254 0.508 0.262
9 S 0.746 0.492 0.738
10 S 0.747 0.494 0.255
11 S 0.253 0.506 0.745
12 S 0.747 0.008 0.255
13 S 0.253 0.992 0.745
14 S 0.261 0.008 0.255
15 S 0.739 0.992 0.745


DFT (PBE-GGA) results for ErSc2US4 after structural relaxation.

Results
- Raw total energy: -7.37 eV/atom

a b c (Å): 3.749 6.572 6.569
angles (deg): 109.02 90.00 90.00
Site moments in Bohr magnetons follow the coordinates.
Sites, in units of the cell vectors:
1 Er 0.500 0.500 0.000  0.07
2 Sc 0.500 0.000 0.500  0.08
3 Sc 0.000 0.500 0.500  -0.05
4 U 0.000 0.000 0.000  2.27
5 S 0.500 0.257 0.266  -0.03
6 S 0.500 0.743 0.734  -0.03
7 S 0.000 0.247 0.736  -0.01
8 S 0.000 0.753 0.264  -0.01


no.,formation energy without anion corrections (eV per atom),DOS at the Fermi energy (states/eV/cell)
1,-1.924,5.260
2,-1.979,6.598
3,-1.746,8.491